Entry 1:
# CuGeSe2 (PBE, relaxed)
data_CuGeSe2
_chemical_formula_sum 'Cu4 Ge4 Se8'
_cell_length_a 6.564
_cell_length_b 6.778
_cell_length_c 10.084
_cell_angle_alpha 90.00
_cell_angle_beta 90.00
_cell_angle_gamma 90.00
_space_group_name_H-M_alt 'P n m a'
_space_group_IT_number 62
loop_
_space_group_symop_operation_xyz
'x,y,z'
'-x,-y,-z'
'-x+1/2,-y,z+1/2'
'x+1/2,y,-z+1/2'
'x+1/2,-y+1/2,-z+1/2'
'-x+1/2,y+1/2,z+1/2'
'-x,y+1/2,-z'
'x,-y+1/2,z'
loop_
_atom_site_label
_atom_site_type_symbol
_atom_site_fract_x
_atom_site_fract_y
_atom_site_fract_z
Cu1 Cu 0.161 0.250 0.137
Ge1 Ge 0.211 0.250 0.563
Se1 Se 0.000 0.000 0.000
Se2 Se 0.018 0.250 0.353
# Total energy: -3.8920 eV per atom
# Formation energy from raw total energies: 29 meV per atom

***

Entry 2:
# Ac3Sm2Y2 (PBE, relaxed)
data_Ac3Sm2Y2
_chemical_formula_sum 'Ac6 Sm4 Y4'
_cell_length_a 5.653
_cell_length_b 25.220
_cell_length_c 3.731
_cell_angle_alpha 90.00
_cell_angle_beta 90.00
_cell_angle_gamma 90.00
_space_group_name_H-M_alt 'C m m m'
_space_group_IT_number 65
_space_group_name_Hall '-C 2 2'
loop_
_atom_site_label
_atom_site_type_symbol
_atom_site_fract_x
_atom_site_fract_y
_atom_site_fract_z
Ac1 Ac 0.000 0.000 0.000
Ac2 Ac 0.000 0.153 0.000
Sm1 Sm 0.000 0.427 0.500
Y1 Y 0.000 0.286 0.500
# DFT formation energy: 0.062 eV/atom
# Total energy: -4.8935 eV per atom

***

Entry 3:
# LiPmPr2Se5 (PBE, relaxed)
data_LiPmPr2Se5
_chemical_formula_sum 'Li4 Pm4 Pr8 Se20'
_cell_length_a 4.198
_cell_length_b 17.507
_cell_length_c 12.599
_cell_angle_alpha 90.00
_cell_angle_beta 90.00
_cell_angle_gamma 90.00
_space_group_name_H-M_alt 'C m c 21'
_space_group_IT_number 36
loop_
_space_group_symop_operation_xyz
'x,y,z'
'-x,-y,z+1/2'
'-x,y,z'
'x,-y,z+1/2'
'x+1/2,y+1/2,z'
'-x+1/2,-y+1/2,z+1/2'
'-x+1/2,y+1/2,z'
'x+1/2,-y+1/2,z+1/2'
loop_
_atom_site_label
_atom_site_type_symbol
_atom_site_fract_x
_atom_site_fract_y
_atom_site_fract_z
Li1 Li 0.000 0.013 0.000
Pm1 Pm 0.000 0.304 0.518
Pr1 Pr 0.000 0.377 0.814
Pr2 Pr 0.000 0.391 0.202
Se1 Se 0.000 0.002 0.802
Se2 Se 0.000 0.137 0.515
Se3 Se 0.000 0.192 0.855
Se4 Se 0.000 0.212 0.180
Se5 Se 0.000 0.455 0.590
# Total energy: -5.4879 eV per atom
# Formation energy from raw total energies: -1749 meV per atom

***

Entry 4:
# NaGe2Ru2 (PBE, relaxed)
data_NaGe2Ru2
_chemical_formula_sum 'Na2 Ge4 Ru4'
_cell_length_a 4.297
_cell_length_b 4.297
_cell_length_c 9.917
_cell_angle_alpha 90.00
_cell_angle_beta 90.00
_cell_angle_gamma 90.00
_space_group_name_H-M_alt 'I 4/m m m'
_space_group_IT_number 139
_space_group_name_Hall '-I 4 2'
loop_
_atom_site_label
_atom_site_type_symbol
_atom_site_fract_x
_atom_site_fract_y
_atom_site_fract_z
Na1 Na 0.000 0.000 0.000
Ge1 Ge 0.000 0.500 0.250
Ru1 Ru 0.000 0.000 0.379
# DFT formation energy: 0.065 eV/atom
# Polymorph energy (0 for the lowest one): 5.18 kcal/mol of atoms
# Total energy: -5.7563 eV per atom

***

Entry 5:
# La3Zn8Ga3 (PBE, relaxed)
data_La3Zn8Ga3
_chemical_formula_sum 'La6 Zn16 Ga6'
_cell_length_a 4.492
_cell_length_b 9.575
_cell_length_c 13.133
_cell_angle_alpha 90.00
_cell_angle_beta 90.00
_cell_angle_gamma 90.00
_space_group_name_H-M_alt 'I m m m'
_space_group_IT_number 71
_space_group_name_Hall '-I 2 2'
loop_
_atom_site_label
_atom_site_type_symbol
_atom_site_fract_x
_atom_site_fract_y
_atom_site_fract_z
La1 La 0.000 0.000 0.000
La2 La 0.000 0.000 0.311
Zn1 Zn 0.000 0.271 0.144
Zn2 Zn 0.000 0.367 0.338
Ga1 Ga 0.000 0.217 0.500
Ga2 Ga 0.000 0.500 0.000
# DFT formation energy: -0.384 eV/atom
# Polymorph energy (0 for the lowest one): 0.63 kcal/mol of atoms
# Total energy: -2.8164 eV per atom

***

Entry 6:
# ZnCo2Tc (PBE, relaxed)
data_ZnCo2Tc
_chemical_formula_sum 'Zn1 Co2 Tc1'
_cell_length_a 2.630
_cell_length_b 3.544
_cell_length_c 5.254
_cell_angle_alpha 90.00
_cell_angle_beta 90.00
_cell_angle_gamma 90.00
_space_group_name_H-M_alt 'P m m m'
_space_group_IT_number 47
loop_
_space_group_symop_operation_xyz
'x,y,z'
'-x,-y,-z'
'-x,-y,z'
'x,y,-z'
'x,-y,-z'
'-x,y,z'
'-x,y,-z'
'x,-y,z'
loop_
_atom_site_label
_atom_site_type_symbol
_atom_site_fract_x
_atom_site_fract_y
_atom_site_fract_z
Zn1 Zn 0.000 0.000 0.000
Co1 Co 0.500 0.500 0.257
Tc1 Tc 0.000 0.000 0.500
# DFT formation energy: 0.053 eV/atom
# Total energy: -6.4097 eV per atom

***

Please write out number 2 again, unchanged.
# Ac3Sm2Y2 (PBE, relaxed)
data_Ac3Sm2Y2
_chemical_formula_sum 'Ac6 Sm4 Y4'
_cell_length_a 5.653
_cell_length_b 25.220
_cell_length_c 3.731
_cell_angle_alpha 90.00
_cell_angle_beta 90.00
_cell_angle_gamma 90.00
_space_group_name_H-M_alt 'C m m m'
_space_group_IT_number 65
_space_group_name_Hall '-C 2 2'
loop_
_atom_site_label
_atom_site_type_symbol
_atom_site_fract_x
_atom_site_fract_y
_atom_site_fract_z
Ac1 Ac 0.000 0.000 0.000
Ac2 Ac 0.000 0.153 0.000
Sm1 Sm 0.000 0.427 0.500
Y1 Y 0.000 0.286 0.500
# DFT formation energy: 0.062 eV/atom
# Total energy: -4.8935 eV per atom

***

> The lowest total energy belongs to which entry?

ZnCo2Tc

***

> Number 5 is which compound?

La3Zn8Ga3